No. 1
Below is a geometry-optimized DyPu2Se4 structure, with properties calculated at the PBE level.

Properties
For the density of states at the Fermi level, the calculation gives 38.2 states/eV/cell. The crystal system is orthorhombic. For the offset from the most stable computed form, the calculation gives 0.18 eV/f.u.

abc: 4.007 7.091 13.906
angles: 90.00 90.00 106.41
Each line ends with the local moment (μB).
Fractional coordinates of all 14 atoms:
Pu: 0.133 0.267 0.069  5.32
Pu: 0.133 0.267 0.431  5.32
Pu: 0.867 0.733 0.569  5.32
Pu: 0.867 0.733 0.931  5.32
Dy: 0.379 0.757 0.250  0.08
Dy: 0.621 0.243 0.750  0.08
Se: 0.029 0.057 0.250  -0.05
Se: 0.500 0.000 0.500  -0.11
Se: 0.500 0.000 0.000  -0.11
Se: 0.221 0.443 0.875  -0.07
Se: 0.221 0.443 0.625  -0.07
Se: 0.971 0.943 0.750  -0.05
Se: 0.779 0.557 0.375  -0.07
Se: 0.779 0.557 0.125  -0.07


No. 2
Below is a geometry-optimized MgCdHg structure, with properties calculated at the PBE level.

Properties
For the density of states at the Fermi level, the calculation gives 1.2 states/eV/cell. The calculation puts the formation energy at -0.0899 eV per atom. The crystal system is tetragonal. For the offset from the most stable computed form, the calculation gives 0.08 eV/f.u.

abc: 6.863 6.864 3.197
angles: 76.51 76.51 26.93
Fractional coordinates of all 3 atoms:
Hg: 0.326 0.326 0.674
Cd: 0.006 0.006 0.994
Mg: 0.669 0.669 0.331


No. 3
Below is a geometry-optimized ZnSiPd5 structure, with properties calculated at the PBE level.

Properties
For the density of states at the Fermi level, the calculation gives 6.5 states/eV/cell. The crystal system is orthorhombic. For the offset from the most stable computed form, the calculation gives 1.28 eV/f.u.

abc: 7.199 7.199 11.151
angles: 39.22 39.22 43.87
Fractional coordinates of all 14 atoms:
Pd: 0.302 0.309 0.574
Pd: 0.691 0.698 0.926
Pd: 0.848 0.152 0.250
Pd: 0.310 0.301 0.815
Pd: 0.690 0.699 0.185
Pd: 0.152 0.848 0.750
Pd: 0.301 0.310 0.315
Pd: 0.309 0.302 0.074
Pd: 0.698 0.691 0.426
Pd: 0.699 0.690 0.685
Si: 0.733 0.267 0.750
Si: 0.267 0.733 0.250
Zn: 0.000 0.000 0.000
Zn: 0.000 0.000 0.500


No. 4
Below is a geometry-optimized ThMgGa2 structure, with properties calculated at the PBE level.

Properties
For the density of states at the Fermi level, the calculation gives 2.0 states/eV/cell. The calculation puts the formation energy at -0.3599 eV per atom. The crystal system is tetragonal.

abc: 4.248 4.635 4.635
angles: 90.00 90.00 90.00
Fractional coordinates of all 4 atoms:
Mg: 0.500 0.500 0.500
Ga: 0.000 0.000 0.500
Ga: 0.000 0.500 0.000
Th: 0.500 0.000 0.000


No. 5
Below is a geometry-optimized K2SbSO6 structure, with properties calculated at the PBE level.

Properties
For the density of states at the Fermi level, the calculation gives 2.1 states/eV/cell. The calculated total energy comes out at -50.67 eV per formula unit. The crystal system is tetragonal.

abc: 5.416 5.416 6.257
angles: 64.36 64.36 90.00
Fractional coordinates of all 10 atoms:
K: 0.250 0.750 0.500
K: 0.750 0.250 0.500
O: 0.808 0.808 0.383
O: 0.717 0.716 0.000
O: 0.284 0.716 0.000
O: 0.283 0.284 0.000
O: 0.716 0.284 0.000
O: 0.192 0.192 0.617
Sb: 0.000 0.000 0.000
S: 0.500 0.500 0.000


No. 6
Below is a geometry-optimized BaSrLiPd structure, with properties calculated at the PBE level.

Properties
For the density of states at the Fermi level, the calculation gives 3.8 states/eV/cell. The calculation puts the formation energy at -0.3205 eV per atom. The crystal system is trigonal. For the offset from the most stable computed form, the calculation gives 0.00 eV/f.u.

abc: 4.519 4.519 8.537
angles: 90.02 105.34 119.96
Fractional coordinates of all 4 atoms:
Li: 0.835 0.282 0.116
Sr: 0.003 0.866 0.868
Pd: 0.503 0.616 0.120
Ba: 0.351 0.041 0.392